# TcMoO2F

A geometry-optimized TcMoO2F structure (PBE with a Hubbard U, Alexandria).

The structure in CIF format:
```
data_TcMoO2F
_cell_length_a 3.957
_cell_length_b 3.957
_cell_length_c 4.333
_cell_angle_alpha 90.00
_cell_angle_beta 90.00
_cell_angle_gamma 90.00
_symmetry_space_group_name_H-M 'P 4/m m m'
_symmetry_Int_Tables_number 123
_symmetry_space_group_name_Hall '-P 4 2'
loop_
_atom_site_label
_atom_site_type_symbol
_atom_site_fract_x
_atom_site_fract_y
_atom_site_fract_z
Tc1 Tc 0.000 0.000 0.000
Mo1 Mo 0.500 0.500 0.500
O1 O 0.000 0.500 0.500
F1 F 0.500 0.500 0.000
```

VASP energy ... -6.26 eV/atom